(1)
ZnHgAsBr2: optimized geometry, PBE-GGA.

Cell lengths 5.5888, 5.5888, 5.3870 Å; angles 90.00, 90.00, 90.00 degrees
Last column: nearest neighbours and their distance in Å.
Fractional coordinates of all 5 atoms:
1 Zn 0.0000 0.0000 0.0000  8 Br 3.88, 4 As 3.95
2 Hg 0.5000 0.5000 0.5000  2 As 2.69, 4 Br 2.79
3 As 0.5000 0.5000 0.0000  2 Hg 2.69
4 Br 0.0000 0.5000 0.5000  2 Hg 2.79
5 Br 0.5000 0.0000 0.5000  2 Hg 2.79

Computed properties:
Uncorrected formation energy = 445 meV/atom
Energy relative to the lowest polymorph listed for this composition = 0.314 eV per atom

(2)
Sc4TlPd: optimized geometry, PBE-GGA.

Cell lengths 7.9242, 7.9242, 7.8458 Å; angles 105.31, 105.31, 35.12 degrees
Last column: nearest neighbours and their distance in Å.
Fractional coordinates of all 12 atoms:
1 Sc 0.0453 0.0453 0.3467  3 Pd 2.61-2.84
2 Sc 0.1949 0.1949 0.1283  1 Pd 2.84, 3 Tl 2.97-3.04
3 Sc 0.3209 0.3209 0.5389  1 Pd 2.81, 1 Tl 3.00, 2 Sc 3.10
4 Sc 0.4269 0.4269 0.1242  3 Pd 2.85-2.91
5 Sc 0.5731 0.5731 0.8758  3 Pd 2.85-2.91
6 Sc 0.6791 0.6791 0.4611  1 Pd 2.81, 1 Tl 3.00, 2 Sc 3.10
7 Sc 0.8051 0.8051 0.8717  1 Pd 2.84, 3 Tl 2.97-3.04
8 Sc 0.9547 0.9547 0.6533  3 Pd 2.61-2.84
9 Tl 0.1797 0.1797 0.7424  10 Sc 2.97-3.28
10 Tl 0.8203 0.8203 0.2576  10 Sc 2.97-3.28
11 Pd 0.0000 0.0000 0.0000  8 Sc 2.61-2.91
12 Pd 0.5000 0.5000 0.5000  8 Sc 2.81-2.85

Computed properties:
E_form = -1.939 eV/f.u.

(3)
La2TbNdTm4: optimized geometry, PBE-GGA.

Cell lengths 7.1805, 7.1805, 12.3163 Å; angles 106.95, 106.95, 60.02 degrees
Last column: nearest neighbours and their distance in Å.
Fractional coordinates of all 16 atoms:
1 La 0.0000 0.0000 0.0000  6 Tm 3.59, 4 La 3.59, 2 Nd 3.59
2 La 0.0000 0.0000 0.5000  6 Tm 3.54-3.55, 4 Tb 3.59, 2 Nd 3.59
3 La 0.0000 0.5000 0.0000  6 Tm 3.59, 4 La 3.59, 2 Nd 3.59
4 La 0.5000 0.0000 0.0000  6 Tm 3.59, 4 La 3.59, 2 Nd 3.59
5 Tb 0.0000 0.5000 0.5000  6 Tm 3.54, 2 Nd 3.59, 2 La 3.59, 2 Tb 3.59
6 Tb 0.5000 0.0000 0.5000  6 Tm 3.54, 2 Nd 3.59, 2 La 3.59, 2 Tb 3.59
7 Nd 0.5000 0.5000 0.0000  6 Tm 3.58-3.59, 6 La 3.59
8 Nd 0.5000 0.5000 0.5000  6 Tm 3.54, 4 Tb 3.59, 2 La 3.59
9 Tm 0.2499 0.2499 0.7476  2 Tb 3.54, 3 La 3.55-3.59, 6 Tm 3.58-3.60, 1 Nd 3.58
10 Tm 0.2496 0.7484 0.7475  1 Tb 3.54, 2 Nd 3.54-3.59, 3 La 3.54-3.59, 6 Tm 3.58-3.60
11 Tm 0.2507 0.2507 0.2528  2 Tb 3.54, 1 Nd 3.54, 6 Tm 3.59, 3 La 3.59
12 Tm 0.2516 0.7504 0.2525  1 Tb 3.54, 2 Nd 3.54-3.59, 3 La 3.54-3.59, 6 Tm 3.58-3.60
13 Tm 0.7484 0.2496 0.7475  1 Tb 3.54, 2 Nd 3.54-3.59, 3 La 3.54-3.59, 6 Tm 3.58-3.60
14 Tm 0.7493 0.7493 0.7472  2 Tb 3.54, 1 Nd 3.54, 6 Tm 3.59, 3 La 3.59
15 Tm 0.7504 0.2516 0.2525  1 Tb 3.54, 2 Nd 3.54-3.59, 3 La 3.54-3.59, 6 Tm 3.58-3.60
16 Tm 0.7501 0.7501 0.2524  2 Tb 3.54, 3 La 3.55-3.59, 6 Tm 3.58-3.60, 1 Nd 3.58

Computed properties:
E_form = 0.167 eV/f.u.

(4)
KRb2Mg2Cl7: optimized geometry, PBE-GGA.

Cell lengths 13.6331, 13.6331, 13.6331 Å; angles 158.65, 158.65, 30.37 degrees
Last column: nearest neighbours and their distance in Å.
Fractional coordinates of all 12 atoms:
1 K 0.0000 0.0000 0.0000  12 Cl 3.52-3.57
2 Rb 0.1819 0.1819 0.0000  9 Cl 3.34-3.58
3 Rb 0.8181 0.8181 0.0000  9 Cl 3.34-3.58
4 Mg 0.4034 0.4034 0.0000  6 Cl 2.49-2.54
5 Mg 0.5966 0.5966 0.0000  6 Cl 2.49-2.54
6 Cl 0.0931 0.5931 0.5000  2 Mg 2.53
7 Cl 0.3089 0.3089 0.0000  1 Mg 2.49
8 Cl 0.4069 0.9069 0.5000  2 Mg 2.53
9 Cl 0.5000 0.5000 0.0000  2 Mg 2.54
10 Cl 0.5931 0.0931 0.5000  2 Mg 2.53
11 Cl 0.6911 0.6911 0.0000  1 Mg 2.49
12 Cl 0.9069 0.4069 0.5000  2 Mg 2.53

Computed properties:
Uncorrected formation energy = -1916 meV/atom

Repeat the first record exactly.
ZnHgAsBr2: optimized geometry, PBE-GGA.

Cell lengths 5.5888, 5.5888, 5.3870 Å; angles 90.00, 90.00, 90.00 degrees
Last column: nearest neighbours and their distance in Å.
Fractional coordinates of all 5 atoms:
1 Zn 0.0000 0.0000 0.0000  8 Br 3.88, 4 As 3.95
2 Hg 0.5000 0.5000 0.5000  2 As 2.69, 4 Br 2.79
3 As 0.5000 0.5000 0.0000  2 Hg 2.69
4 Br 0.0000 0.5000 0.5000  2 Hg 2.79
5 Br 0.5000 0.0000 0.5000  2 Hg 2.79

Computed properties:
Uncorrected formation energy = 445 meV/atom
Energy relative to the lowest polymorph listed for this composition = 0.314 eV per atom